The following is a DFT calculation (PBE-GGA) of crystalline CeSm2Er at its relaxed geometry.

Computed properties:
As for the formation energy: 0.196 eV/atom. For the energy relative to the lowest polymorph listed for this composition, the calculation gives 132.9 meV per atom.

The structure in CIF format:
```
data_CeSm2Er
_cell_length_a 8.073
_cell_length_b 8.073
_cell_length_c 8.073
_cell_angle_alpha 90.00
_cell_angle_beta 90.00
_cell_angle_gamma 90.00
_symmetry_space_group_name_H-M 'F m -3 m'
_symmetry_Int_Tables_number 225
_symmetry_space_group_name_Hall '-F 4 2 3'
loop_
_atom_site_label
_atom_site_type_symbol
_atom_site_fract_x
_atom_site_fract_y
_atom_site_fract_z
Ce1 Ce 0.000 0.000 0.000
Sm1 Sm 0.250 0.250 0.250
Er1 Er 0.000 0.000 0.500
```